1.
The following is a GGA-PBE calculation of a relaxed structure of FeHgSb2, from Alexandria via LeMat-Bulk.

Cell: 9.917 9.917 9.917 Å, 161.37 161.29 26.53°
Each line ends with the local moment (μB).
Atoms (fractional coordinates):
1 Hg 0.315 0.815 0.500  0.00
2 Sb 0.656 0.156 0.500  -0.03
3 Fe 0.550 0.550 0.000  1.80
4 Sb 0.979 0.979 0.000  -0.06

ΔE_f (raw), eV per formula unit: 0.728

2.
The following is a GGA-PBE calculation of a relaxed structure of KAu2Cl, from Alexandria via LeMat-Bulk.

Cell: 5.210 5.210 10.989 Å, 76.29 76.29 90.00°
Atoms (fractional coordinates):
1 Au 0.372 0.125 0.250
2 Au 0.378 0.625 0.250
3 K 0.000 0.000 0.000
4 Au 0.875 0.622 0.750
5 Au 0.375 0.628 0.750
6 K 0.750 0.250 0.500
7 Cl 0.250 0.750 0.500
8 Cl 0.500 0.500 0.000

ΔE_f (raw), eV per formula unit: -1.000
Energy above the lowest structure with this stoichiometry, meV per atom: 327.7

3.
The following is a GGA-PBE calculation of a relaxed structure of Sr3BRh, from Alexandria via LeMat-Bulk.

Cell: 5.378 5.378 5.378 Å, 90.00 90.00 90.00°
Atoms (fractional coordinates):
1 Sr 0.000 0.500 0.000
2 Rh 0.500 0.500 0.500
3 B 0.000 0.000 0.000
4 Sr 0.000 0.000 0.500
5 Sr 0.500 0.000 0.000

DFT formation energy, eV per atom: 0.544
Energy above the lowest structure with this stoichiometry, meV per atom: 0.0

4.
The following is a GGA-PBE calculation of a relaxed structure of GdCuAs2, from Alexandria via LeMat-Bulk.

Cell: 3.316 3.316 9.320 Å, 79.75 79.75 60.00°
Each line ends with the local moment (μB).
Atoms (fractional coordinates):
1 Cu 0.500 0.500 0.500  -0.01
2 As 0.106 0.106 0.683  -0.01
3 Gd 0.000 0.000 0.000  7.10
4 As 0.894 0.894 0.317  -0.01

DFT formation energy, eV per atom: 0.137

5.
The following is a GGA-PBE calculation of a relaxed structure of Ce2TlAg, from Alexandria via LeMat-Bulk.

Cell: 4.608 4.608 5.787 Å, 113.46 113.46 90.00°
Each line ends with the local moment (μB).
Atoms (fractional coordinates):
1 Ag 0.500 0.000 0.000  0.01
2 Tl 0.000 0.500 0.000  0.00
3 Ce 0.250 0.250 0.500  0.66
4 Ce 0.750 0.750 0.500  0.66

DFT formation energy, eV per atom: -0.149
Energy above the lowest structure with this stoichiometry, meV per atom: 3.9

6.
The following is a GGA-PBE calculation of a relaxed structure of Li5H9Pt2, from Alexandria via LeMat-Bulk.

Cell: 7.207 7.207 7.207 Å, 109.94 109.94 108.54°
Atoms (fractional coordinates):
1 Li 0.500 0.500 0.000
2 H 0.789 0.638 0.701
3 Li 0.192 0.989 0.500
4 Pt 0.842 0.658 0.500
5 H 0.362 0.063 0.151
6 H 0.563 0.862 0.151
7 H 0.500 0.000 0.500
8 Li 0.011 0.511 0.203
9 H 0.211 0.362 0.299
10 H 0.063 0.912 0.701
11 H 0.289 0.588 0.151
12 Pt 0.158 0.342 0.500
13 H 0.912 0.211 0.849
14 H 0.088 0.789 0.151
15 H 0.711 0.412 0.849
16 Li 0.511 0.308 0.500
17 H 0.638 0.937 0.849
18 Li 0.308 0.808 0.797
19 H 0.937 0.088 0.299
20 Pt 0.342 0.842 0.184
21 H 0.000 0.500 0.500
22 H 0.588 0.437 0.299
23 H 0.138 0.289 0.701
24 Li 0.989 0.489 0.797
25 Li 0.808 0.011 0.500
26 Li 0.000 0.000 0.000
27 Li 0.692 0.192 0.203
28 Li 0.489 0.692 0.500
29 H 0.862 0.711 0.299
30 H 0.412 0.563 0.701
31 H 0.437 0.138 0.849
32 Pt 0.658 0.158 0.816

Calculated total energy, eV/atom: -3.68

Calculated density of states at the Fermi level in order - 0.75, 4.28, 1.00, 0.86, 2.60, 0.04 states/eV/atom